Computed, not measured: a geometry-optimized CaAcOsO6 structure at the PBE level of DFT.

a b c (Å): 5.6005 5.6005 5.1873
angles (deg): 90.00 90.00 120.00
Space group P312 (No. 149)
Symmetry-distinct sites (fractional):
Ca  0.0000  0.0000  0.0000 x1
Ac  0.6667  0.3333  0.5000 x1
Os  0.3333  0.6667  0.0000 x1
O  0.0539  0.3870  0.2112 x6

Summary:
Formation energy (no corrections), meV/atom: -2139
Magnetic moment, μB/f.u.: 1.0

Computed, not measured: a geometry-optimized CaAcPO6 structure at the PBE level of DFT.

a b c (Å): 5.4537 5.4537 5.0345
angles (deg): 90.00 90.00 120.00
Space group P312 (No. 149)
Symmetry-distinct sites (fractional):
Ca  0.0000  0.0000  0.0000 x1
Ac  0.6667  0.3333  0.5000 x1
P  0.3333  0.6667  0.0000 x1
O  0.0697  0.4165  0.1943 x6

Summary:
Formation energy (no corrections), meV/atom: -2257
Magnetic moment, μB/f.u.: 2.0